## AlFe2HRh (PBE-GGA)

Data for an optimized crystal structure of AlFe2HRh.

Summary:
The value obtained for the energy above the lowest structure with this stoichiometry is 74 meV/atom. The space group is No. 123.

Cell and atoms, written as POSCAR:
```
AlFe2HRh
1.0
3.576 0.000 0.000
0.000 3.576 0.000
0.000 0.000 4.205
H Fe Al Rh
1 2 1 1
direct
0.000 0.000 0.000
0.000 0.500 0.000
0.500 0.000 0.000
0.000 0.000 0.500
0.500 0.500 0.500
```

## AlFeHRh2 (PBE-GGA)

Data for an optimized crystal structure of AlFeHRh2.

Summary:
The space group is No. 123. The value obtained for the total energy is -6.42 eV/atom.

Cell and atoms, written as POSCAR:
```
AlFeHRh2
1.0
3.993 0.000 0.000
0.000 3.993 0.000
0.000 0.000 3.583
Rh Al Fe H
2 1 1 1
direct
0.500 0.000 0.000
0.000 0.500 0.000
0.500 0.500 0.500
0.000 0.000 0.500
0.000 0.000 0.000
```

## AlFe2HRh (PBE-GGA)

Data for an optimized crystal structure of AlFe2HRh.

Summary:
The value obtained for the energy above the lowest structure with this stoichiometry is 0 meV/atom. The space group is No. 123.

Cell and atoms, written as POSCAR:
```
AlFe2HRh
1.0
-0.176 -2.530 2.603
-0.798 -2.515 -2.499
3.967 -0.776 -0.486
H Fe Al Rh
1 2 1 1
direct
0.000 0.000 0.000
0.000 0.500 0.000
0.500 0.000 0.000
0.500 0.500 0.500
0.000 0.000 0.500
```

## Al2FeHRh (PBE-GGA)

Data for an optimized crystal structure of Al2FeHRh.

Summary:
The space group is No. 123. The value obtained for the total energy is -5.83 eV/atom.

Cell and atoms, written as POSCAR:
```
Al2FeHRh
1.0
4.165 0.000 0.000
0.000 4.165 0.000
0.000 0.000 3.083
Al Rh H Fe
2 1 1 1
direct
0.000 0.500 0.000
0.500 0.000 0.000
0.500 0.500 0.500
0.000 0.000 0.000
0.000 0.000 0.500
```

## AlFe2HRu (PBE-GGA)

Data for an optimized crystal structure of AlFe2HRu.

Summary:
The value obtained for the energy above the lowest structure with this stoichiometry is 0 meV/atom. The space group is No. 123.

Cell and atoms, written as POSCAR:
```
AlFe2HRu
1.0
3.692 0.000 0.000
0.000 3.692 0.000
0.000 0.000 3.963
Ru Al H Fe
1 1 1 2
direct
0.000 0.000 0.500
0.500 0.500 0.500
0.000 0.000 0.000
0.000 0.500 0.000
0.500 0.000 0.000
```

## AlFe2HRu (PBE-GGA)

Data for an optimized crystal structure of AlFe2HRu.

Summary:
The value obtained for the energy above the lowest structure with this stoichiometry is 94 meV/atom. The space group is No. 123.

Cell and atoms, written as POSCAR:
```
AlFe2HRu
1.0
3.593 0.000 0.000
0.000 3.593 0.000
0.000 0.000 4.158
Fe H Ru Al
2 1 1 1
direct
0.000 0.500 0.000
0.500 0.000 0.000
0.000 0.000 0.000
0.500 0.500 0.500
0.000 0.000 0.500
```

Total magnetic moment, record by record: 5.03 3.78 4.90 0.28 5.45 5.30 μB/cell